A plane-wave DFT calculation with GGA-PBEsol was carried out for a relaxed NaRuO2F crystal.

Structure (CIF):
```
data_NaRuO2F
_chemical_formula_sum 'Na1 Ru1 O2 F1'
_cell_length_a 3.9966
_cell_length_b 3.9966
_cell_length_c 3.8224
_cell_angle_alpha 90.00
_cell_angle_beta 90.00
_cell_angle_gamma 90.00
_space_group_name_H-M_alt 'P 1'
_space_group_IT_number 1
_space_group_name_Hall 'P 1'
loop_
_atom_site_label
_atom_site_type_symbol
_atom_site_fract_x
_atom_site_fract_y
_atom_site_fract_z
_atom_site_occupancy
Na1 Na 0.0000 0.0000 0.0000 1
Ru1 Ru 0.5000 0.5000 0.5000 1
O1 O 0.0000 0.5000 0.0000 1
O2 O 0.5000 0.0000 0.0000 1
F1 F 0.0000 0.0000 0.5000 1
```

## Properties
The space group is P4/mmm (123). The value obtained for the density of states at the Fermi level is 1.58 states/eV/f.u. The uncorrected formation energy is 408.2 meV/atom. The energy is -4.391 eV/atom.